A relaxed structure of Ca2NdAl4. Source: Alexandria via LeMat-Bulk, functional PBE.

## Properties
DFT formation energy ... -330.6 meV/atom
DFT total energy ... -3.72 eV/atom

Cell and atoms, written as extended XYZ:
```
7
Lattice="-1.7932 1.7078 -3.8533 3.3744 -0.3117 -1.7085 -3.1830 -10.0305 -0.2419" Properties=species:S:1:pos:R:3 pbc="T T T"
Ca -0.6804 -5.0403 -4.6395
Ca -0.9214 -3.5941 -1.1641
Nd -0.8966 0.8539 -1.9266
Al 0.1379 -1.8481 -3.6056
Al -1.7397 -6.7863 -2.1981
Al 1.3724 -1.3838 -1.2520
Al -2.9742 -7.2506 -4.5517
```